Compound: InReSi2
Source: Alexandria via LeMat-Bulk
Functional: PBE
Structure: relaxed

## Properties
Energy = -25.5 eV per cell
Density of states at the Fermi level = 1.71 states/eV per cell
Symmetry = P4/mmm (123)
Magnetization = 0.00 μB/f.u.

abc: 3.0912 3.0912 7.3189
angles: 90.00 90.00 90.00
Element x y z (fractional)
In: 0.5000 0.5000 0.2500
Si: 0.0000 0.0000 0.5669
Si: 0.0000 0.0000 0.9331
Re: 0.5000 0.5000 0.7500



Compound: TlCuPbO4
Source: Alexandria via LeMat-Bulk
Functional: PBE
Structure: relaxed

## Properties
Energy = -69.6 eV per cell
Density of states at the Fermi level = 3.20 states/eV per cell
Symmetry = Imma (74)
Magnetization = 0.00 μB/f.u.

abc: 6.1576 6.7934 6.7267
angles: 119.68 90.00 116.95
Element x y z (fractional)
Pb: 0.5000 0.0000 0.5000
Pb: 0.5000 0.0000 0.0000
O: 0.7265 0.4530 0.6681
O: 0.7462 0.0188 0.7594
O: 0.2735 0.5470 0.3319
O: 0.7274 0.9812 0.2406
O: 0.2726 0.0188 0.7594
O: 0.2538 0.9812 0.2406
O: 0.7265 0.4530 0.2848
O: 0.2735 0.5470 0.7152
Cu: 0.0000 0.5000 0.5000
Cu: 0.5000 0.5000 0.5000
Tl: 0.1654 0.3309 0.9155
Tl: 0.8346 0.6691 0.0845



Q: What is the formula in the first record?
A: InReSi2



Q: Number 1 is which compound?
A: InReSi2



Q: Number 2 is which compound?
A: TlCuPbO4